Density functional theory data (PBE-GGA) for a geometry-optimized ZrMnCr2 structure.

Summary:
Energy (eV/atom): -9.01
Calculated density (g/cm3): 7.32

extended XYZ file:
```
4
Lattice="3.894 0.000 0.000 0.000 2.790 0.007 0.000 1.065 5.229" Properties=species:S:1:pos:R:3 pbc="T T T"
Cr 1.947 0.957 1.301
Cr 0.000 0.067 0.305
Zr 1.947 2.886 3.907
Mn 0.000 1.874 2.341
```

Density functional theory data (PBE-GGA) for a geometry-optimized ZrMn3Cr structure.

Summary:
Excess energy over the best structure of this formula in the dataset (eV/atom): 0.893
Energy (eV/atom): -7.62
Calculated density (g/cm3): 4.78

extended XYZ file:
```
5
Lattice="4.749 0.000 0.000 0.000 4.749 0.000 0.000 0.000 4.749" Properties=species:S:1:pos:R:3 pbc="T T T"
Mn 0.000 2.374 0.000
Mn 2.374 0.000 0.000
Mn 0.000 0.000 2.374
Zr 0.000 0.000 0.000
Cr 2.374 2.374 2.374
```

Density functional theory data (PBE-GGA) for a geometry-optimized ZrMnCr2 structure.

Summary:
Energy (eV/atom): -8.86
Calculated density (g/cm3): 7.25

extended XYZ file:
```
4
Lattice="-4.881 1.443 0.903 -2.999 -2.528 3.367 4.731 2.063 -0.289" Properties=species:S:1:pos:R:3 pbc="T T T"
Cr -3.940 -0.543 2.135
Cr 0.000 0.000 0.000
Mn -1.104 -0.504 2.607
Zr -2.045 1.482 1.375
```

Density functional theory data (PBE-GGA) for a geometry-optimized ZrMnCr2 structure.

Summary:
Energy (eV/atom): -9.12
Calculated density (g/cm3): 7.05

extended XYZ file:
```
4
Lattice="-1.621 -1.003 2.250 -1.678 -1.523 -1.888 4.145 -5.326 0.612" Properties=species:S:1:pos:R:3 pbc="T T T"
Mn 1.879 -2.414 0.278
Cr -0.626 -2.578 0.332
Cr 0.194 -0.249 0.029
Zr 1.471 -5.273 0.642
```

Density functional theory data (PBE-GGA) for a geometry-optimized ZrMn4Cr structure.

Summary:
Energy (eV/atom): -9.12
Calculated density (g/cm3): 7.63

extended XYZ file:
```
6
Lattice="0.064 -1.823 4.457 -3.751 -2.554 1.611 0.425 -4.752 0.651" Properties=species:S:1:pos:R:3 pbc="T T T"
Cr 0.000 0.000 0.000
Zr -2.447 -6.848 5.039
Mn -1.192 -4.336 4.745
Mn -1.224 -3.426 2.521
Mn -1.012 -5.797 2.846
Mn -3.096 -4.701 3.325
```

Density functional theory data (PBE-GGA) for a geometry-optimized ZrMnCr2 structure.

Summary:
Energy (eV/atom): -8.92
Calculated density (g/cm3): 7.48

extended XYZ file:
```
4
Lattice="4.938 0.014 0.009 -2.297 4.372 0.009 0.495 0.821 2.572" Properties=species:S:1:pos:R:3 pbc="T T T"
Zr -0.901 2.596 1.290
Mn 2.716 0.417 1.290
Cr 1.321 2.193 0.009
Cr 0.000 0.000 0.000
```

Density functional theory data (PBE-GGA) for a geometry-optimized CrMo structure.

Summary:
Energy (eV/atom): -8.10
Calculated density (g/cm3): 6.08

extended XYZ file:
```
2
Lattice="-0.312 -2.334 -3.047 2.408 -2.979 -0.399 -1.296 -3.598 0.455" Properties=species:S:1:pos:R:3 pbc="T T T"
Cr 0.000 0.000 0.000
Mo 0.600 -6.683 -2.243
```

Density functional theory data (PBE-GGA) for a geometry-optimized Cr5Mo structure.

Summary:
Excess energy over the best structure of this formula in the dataset (eV/atom): 0.000
Energy (eV/atom): -9.79
Calculated density (g/cm3): 7.84

extended XYZ file:
```
6
Lattice="2.933 0.000 0.000 0.000 4.140 0.000 0.000 -2.070 6.206" Properties=species:S:1:pos:R:3 pbc="T T T"
Cr 1.467 2.070 0.000
Cr 1.467 0.000 2.120
Cr 1.467 2.070 4.087
Cr 0.000 0.000 4.103
Cr 0.000 2.070 2.103
Mo 0.000 0.000 0.000
```

Density functional theory data (PBE-GGA) for a geometry-optimized CrMo structure.

Summary:
Energy (eV/atom): -9.88
Calculated density (g/cm3): 8.64

extended XYZ file:
```
8
Lattice="4.845 0.000 0.000 0.000 4.845 0.000 0.000 0.000 4.845" Properties=species:S:1:pos:R:3 pbc="T T T"
Mo 4.394 2.874 1.971
Mo 0.451 0.451 0.451
Mo 2.874 1.971 4.394
Mo 1.971 4.394 2.874
Cr 2.871 4.397 0.448
Cr 0.448 2.871 4.397
Cr 1.974 1.974 1.974
Cr 4.397 0.448 2.871
```

Density functional theory data (PBE-GGA) for a geometry-optimized Cr2Mo structure.

Summary:
Excess energy over the best structure of this formula in the dataset (eV/atom): 0.341
Energy (eV/atom): -9.63
Calculated density (g/cm3): 8.24

extended XYZ file:
```
6
Lattice="-3.822 0.106 -2.192 3.423 -2.237 -1.645 -1.445 -3.924 2.330" Properties=species:S:1:pos:R:3 pbc="T T T"
Cr 0.000 0.000 0.000
Cr 0.646 -2.437 -1.245
Cr -2.491 -3.618 -0.262
Cr -0.722 -1.962 1.165
Mo -1.769 -1.656 -1.427
Mo -0.076 -4.399 -0.080
```

Density functional theory data (PBE-GGA) for a geometry-optimized CrMo structure.

Summary:
Energy (eV/atom): -9.73
Calculated density (g/cm3): 8.44

extended XYZ file:
```
2
Lattice="-2.132 -0.401 -1.708 2.568 -0.569 -0.840 -0.424 -4.122 1.497" Properties=species:S:1:pos:R:3 pbc="T T T"
Cr 0.000 0.000 0.000
Mo 0.789 -2.574 -0.381
```

Density functional theory data (PBE-GGA) for a geometry-optimized CrMo structure.

Summary:
Energy (eV/atom): -8.90
Calculated density (g/cm3): 6.82

extended XYZ file:
```
4
Lattice="4.065 0.000 0.000 -2.032 3.520 0.000 0.000 0.000 5.037" Properties=species:S:1:pos:R:3 pbc="T T T"
Mo 2.032 1.173 1.259
Mo 0.000 2.347 3.778
Cr 0.000 2.347 1.259
Cr 2.032 1.173 3.778
```